Here is a relaxed Li8Mn13Cr3O32 crystal from Alexandria via LeMat-Bulk. Energies are from GGA+U.

* crystal system: monoclinic
* raw total energy: -0.51219 Ry/atom
* size of the total moment: 106.0 μB/cell
* D(E_F): 0.622 states/eV/f.u.

Cell: 11.7741 11.6442 10.3771 Å, 90.00 123.68 90.00°
Space group C2/m (No. 12)
Inequivalent atoms, fractional coordinates:
1 Li 0.1815 0.0000 0.1112
2 Li 0.1822 0.2507 0.6141
3 Li 0.1838 0.5000 0.1140
4 Mn 0.0000 0.5000 0.5000
5 Mn 0.0006 0.1252 0.2506
6 Mn 0.0023 0.3759 0.7542
7 Mn 0.2489 0.5000 0.4989
8 Mn 0.2500 0.2500 0.0000
9 Cr 0.0000 0.0000 0.5000
10 Cr 0.0000 0.2486 0.0000
11 O 0.1039 0.0000 0.7350
12 O 0.1049 0.2497 0.2360
13 O 0.1055 0.5000 0.2426
14 O 0.1063 0.0000 0.2446
15 O 0.1055 0.2504 0.7445
16 O 0.1107 0.5000 0.7527
17 O 0.1122 0.3875 0.4737
18 O 0.1160 0.1357 0.9746
19 O 0.1164 0.3627 0.9782
20 O 0.1173 0.1138 0.4766